Computed, not measured: MgFePd2 after structural relaxation at the GGA-PBE level of DFT.

a b c (Å): 3.934 3.934 9.101
angles (deg): 77.52 77.52 90.00
Element x y z (fractional)
Mg 0.500 0.500 0.000
Mg 0.250 0.750 0.500
Fe 0.000 0.000 0.000
Fe 0.750 0.250 0.500
Pd 0.633 0.125 0.250
Pd 0.117 0.625 0.250
Pd 0.375 0.367 0.750
Pd 0.875 0.883 0.750

## Properties
DOS(E_F): 0.928 states/eV/atom
Crystal system: tetragonal
Energy of formation from the pure elements: 0.14 eV/atom
DFT total energy: -4.974 eV per atom
Symmetry: I-42d (122)



Computed, not measured: MgFePd6 after structural relaxation at the GGA-PBE level of DFT.

a b c (Å): 3.931 3.931 7.843
angles (deg): 90.00 90.00 90.00
Element x y z (fractional)
Mg 0.000 0.000 0.000
Fe 0.000 0.000 0.500
Pd 0.500 0.500 0.000
Pd 0.500 0.500 0.500
Pd 0.500 0.000 0.258
Pd 0.500 0.000 0.742
Pd 0.000 0.500 0.258
Pd 0.000 0.500 0.742

## Properties
DOS(E_F): 1.306 states/eV/atom
Crystal system: tetragonal
Energy of formation from the pure elements: -0.28 eV/atom
DFT total energy: -5.436 eV per atom
Symmetry: P4/mmm (123)



Computed, not measured: MgFePd6 after structural relaxation at the GGA-PBE level of DFT.

a b c (Å): 5.226 5.226 5.226
angles (deg): 89.47 89.47 89.47
Element x y z (fractional)
Mg 0.000 0.000 0.000
Fe 0.500 0.500 0.500
Pd 0.173 0.550 0.173
Pd 0.173 0.173 0.550
Pd 0.827 0.450 0.827
Pd 0.450 0.827 0.827
Pd 0.827 0.827 0.450
Pd 0.550 0.173 0.173

## Properties
DOS(E_F): 0.569 states/eV/atom
Crystal system: trigonal
Energy of formation from the pure elements: 0.19 eV/atom
DFT total energy: -4.966 eV per atom
Symmetry: R-3m (166)



Computed, not measured: Mg2FePd9 after structural relaxation at the GGA-PBE level of DFT.

a b c (Å): 3.943 3.943 11.820
angles (deg): 90.00 90.00 90.00
Element x y z (fractional)
Mg 0.000 0.000 0.332
Mg 0.000 0.000 0.668
Fe 0.000 0.000 0.000
Pd 0.500 0.500 0.000
Pd 0.500 0.500 0.330
Pd 0.500 0.500 0.670
Pd 0.500 0.000 0.160
Pd 0.500 0.000 0.500
Pd 0.500 0.000 0.840
Pd 0.000 0.500 0.160
Pd 0.000 0.500 0.500
Pd 0.000 0.500 0.840

## Properties
DOS(E_F): 1.389 states/eV/atom
Crystal system: tetragonal
Energy of formation from the pure elements: -0.34 eV/atom
DFT total energy: -5.207 eV per atom
Symmetry: P4/mmm (123)